# Ca2ScMn

A crystal of Ca2ScMn relaxed with PBEsol (SCAN, the Alexandria database).

```
4
Lattice="3.427 0.000 0.000 1.713 2.968 0.000 1.713 0.989 10.563" Properties=species:S:1:pos:R:3 pbc="T T T"
Sc 0.000 0.000 0.000
Ca 5.140 2.968 7.619
Ca 1.713 0.989 2.944
Mn 3.427 1.979 5.281
```

For the energy above the most stable polymorph in this dataset, the calculation gives 0.120 eV per atom. For the density of states at the Fermi level, the calculation gives 4.1 states/eV/f.u. The formation energy from the elements is 0.371 eV/atom. The value obtained for the total moment is 4.29 μB per cell. As for the calculated density: 2.8 g/cm³.

# MnCd2Ag

A crystal of MnCd2Ag relaxed with PBEsol (SCAN, the Alexandria database).

```
4
Lattice="-1.916 -0.893 2.073 -0.711 -2.342 -1.666 5.702 -4.195 3.464" Properties=species:S:1:pos:R:3 pbc="T T T"
Ag 1.538 -3.715 1.936
Cd 1.375 -1.012 0.835
Cd 4.327 -3.183 2.629
Mn -1.313 -1.617 0.204
```

For the density of states at the Fermi level, the calculation gives 1.3 states/eV/f.u. The formation energy from the elements is -0.040 eV/atom. The value obtained for the total moment is 3.91 μB per cell. As for the calculated density: 9.3 g/cm³.

# Be2InPt

A crystal of Be2InPt relaxed with PBEsol (SCAN, the Alexandria database).

```
4
Lattice="-0.835 0.521 3.573 -1.271 -3.475 0.210 4.572 0.251 -0.891" Properties=species:S:1:pos:R:3 pbc="T T T"
Pt 1.124 -2.351 0.605
Be 0.000 0.000 0.000
Be 1.342 -0.353 2.287
In -1.053 -1.477 1.891
```

For the density of states at the Fermi level, the calculation gives 1.0 states/eV/f.u. The formation energy from the elements is -0.232 eV/atom. The value obtained for the total moment is 0.00 μB per cell. As for the calculated density: 10.3 g/cm³.

# CaZnIN2

A crystal of CaZnIN2 relaxed with PBEsol (SCAN, the Alexandria database).

```
5
Lattice="4.575 0.000 0.000 0.000 4.575 0.000 0.000 0.000 6.259" Properties=species:S:1:pos:R:3 pbc="T T T"
Ca 0.000 0.000 0.000
N 2.287 0.000 0.000
N 0.000 2.287 0.000
I 0.000 0.000 3.130
Zn 2.287 2.287 3.130
```

For the density of states at the Fermi level, the calculation gives 2.5 states/eV/f.u. Its formation energy without anion corrections is 1.03 eV per atom. The value obtained for the total moment is 4.19 μB per cell. As for the calculated density: 3.3 g/cm³.

# TeIrN2F

A crystal of TeIrN2F relaxed with PBEsol (SCAN, the Alexandria database).

```
5
Lattice="-0.788 -3.827 -0.482 3.810 -0.695 -0.705 0.631 -0.639 4.042" Properties=species:S:1:pos:R:3 pbc="T T T"
Te 0.316 -0.319 2.021
N -0.394 -1.913 -0.241
N 1.905 -0.348 -0.352
F 0.000 0.000 0.000
Ir 1.827 -2.580 1.428
```

For the energy above the most stable polymorph in this dataset, the calculation gives 0.688 eV per atom. For the density of states at the Fermi level, the calculation gives 3.2 states/eV/f.u. Its formation energy without anion corrections is 2.35 eV per atom. The value obtained for the total moment is 0.00 μB per cell. As for the calculated density: 9.5 g/cm³.

# Sr2SO

A crystal of Sr2SO relaxed with PBEsol (SCAN, the Alexandria database).

```
8
Lattice="6.331 0.055 0.084 -2.673 5.740 -0.084 -2.673 -2.365 5.231" Properties=species:S:1:pos:R:3 pbc="T T T"
Sr 4.114 3.010 0.685
Sr 1.373 1.159 2.281
Sr -1.725 3.115 4.237
Sr -1.792 -0.424 3.259
O -2.673 1.688 2.573
O 0.492 -0.311 3.944
S 0.000 0.000 0.000
S 0.492 3.741 1.287
```

For the energy above the most stable polymorph in this dataset, the calculation gives 0.000 eV per atom. For the density of states at the Fermi level, the calculation gives 0.0 states/eV/f.u. Its formation energy without anion corrections is -2.51 eV per atom. The value obtained for the total moment is 0.00 μB per cell. As for the calculated density: 3.9 g/cm³.